(1)
Material: PuUTe6
Method: DFT, PBE-GGA
State: optimized geometry

```
PuUTe6
1.0
4.379 0.000 0.000
0.000 4.378 0.000
0.000 0.000 26.221
Pu U Te
2 2 12
Direct
0.000 0.000 0.000
0.000 0.500 0.500
0.500 0.000 0.342
0.500 0.500 0.842
0.000 0.000 0.251
0.000 0.000 0.592
0.000 0.000 0.875
0.000 0.500 0.092
0.000 0.500 0.375
0.000 0.500 0.751
0.500 0.000 0.092
0.500 0.000 0.464
0.500 0.000 0.751
0.500 0.500 0.251
0.500 0.500 0.592
0.500 0.500 0.964
```

Formation energy (no corrections): -624 meV per atom
Space group: Amm2, No. 38
Calculated density: 8.24 g cm⁻³
Total energy: -6.18 eV/atom

(2)
Material: AcBiPb2O6
Method: DFT, PBE-GGA
State: optimized geometry

```
AcBiPb2O6
1.0
5.928 0.000 0.000
0.000 6.618 0.000
-5.811 0.000 8.882
Ac Bi Pb O
2 2 4 12
Direct
0.000 0.000 0.000
0.000 0.500 0.500
0.500 0.000 0.500
0.500 0.500 0.000
0.217 0.048 0.721
0.217 0.452 0.221
0.783 0.548 0.779
0.783 0.952 0.279
0.160 0.163 0.476
0.160 0.337 0.976
0.253 0.734 0.433
0.253 0.766 0.933
0.376 0.057 0.269
0.376 0.443 0.769
0.624 0.557 0.231
0.624 0.943 0.731
0.747 0.234 0.067
0.747 0.266 0.567
0.840 0.663 0.024
0.840 0.837 0.524
```

Formation energy (no corrections): -1584 meV per atom
Space group: P2_1/c, No. 14
Calculated density: 9.02 g cm⁻³
Total energy: -6.10 eV/atom

(3)
Material: Li3InCu
Method: DFT, PBE-GGA
State: optimized geometry

```
Li3InCu
1.0
5.016 0.000 0.000
0.000 5.016 0.000
0.000 0.000 5.016
Li In Cu
3 1 1
Direct
0.000 0.000 0.500
0.000 0.500 0.000
0.500 0.000 0.000
0.000 0.000 0.000
0.500 0.500 0.500
```

Calculated formation energy: 0.55 eV/atom
Space group: Pm-3m, No. 221
Calculated density: 2.62 g cm⁻³
Total energy: -1.96 eV/atom

(4)
Material: PrGa2Pt4
Method: DFT, PBE-GGA
State: optimized geometry

```
PrGa2Pt4
1.0
7.895 0.000 0.000
0.000 7.895 0.000
0.000 0.000 4.029
Pr Ga Pt
2 4 8
Direct
0.000 0.000 0.000
0.500 0.500 0.500
0.223 0.223 0.500
0.277 0.723 0.000
0.723 0.277 0.000
0.777 0.777 0.500
0.081 0.668 0.500
0.168 0.419 0.000
0.332 0.919 0.500
0.419 0.168 0.000
0.581 0.832 0.000
0.668 0.081 0.500
0.832 0.581 0.000
0.919 0.332 0.500
```

Calculated formation energy: -0.83 eV/atom
Space group: P4_2/mnm, No. 136
Calculated density: 14.03 g cm⁻³
Total energy: -5.83 eV/atom

(5)
Material: CsNa3Cu
Method: DFT, PBE-GGA
State: optimized geometry

```
CsNa3Cu
1.0
5.891 0.000 0.000
0.000 5.891 0.000
0.000 0.000 5.891
Cs Na Cu
1 3 1
Direct
0.000 0.000 0.000
0.000 0.500 0.500
0.500 0.000 0.500
0.500 0.500 0.000
0.500 0.500 0.500
```

Calculated formation energy: 0.21 eV/atom
Space group: Pm-3m, No. 221
Calculated density: 2.16 g cm⁻³
Total energy: -1.58 eV/atom

(6)
Material: Rb3Nd2PaTe6
Method: DFT, PBE-GGA
State: optimized geometry

```
Rb3Nd2PaTe6
1.0
3.979 -6.889 0.000
3.979 6.889 0.000
-2.655 0.000 8.621
Rb Nd Pa Te
3 2 1 6
Direct
0.000 0.000 0.000
0.331 0.669 0.000
0.669 0.331 0.000
0.166 0.834 0.500
0.834 0.166 0.500
0.500 0.500 0.500
0.106 0.432 0.295
0.243 0.243 0.706
0.432 0.106 0.295
0.568 0.894 0.705
0.757 0.757 0.294
0.894 0.568 0.705
```

Formation energy (no corrections): -1230 meV per atom
Space group: C2/m, No. 12
Calculated density: 5.42 g cm⁻³
Total energy: -4.63 eV/atom

(7)
Material: LaSbW
Method: DFT, PBE-GGA
State: optimized geometry

```
LaSbW
1.0
3.541 0.000 0.000
0.000 3.554 0.000
0.000 0.000 11.661
La Sb W
2 2 2
Direct
0.000 0.000 0.000
0.500 0.500 0.500
0.000 0.000 0.710
0.500 0.500 0.210
0.000 0.000 0.317
0.500 0.500 0.817
```

Formation energy (no corrections): 134 meV per atom
Space group: Imm2, No. 44
Calculated density: 10.06 g cm⁻³
Total energy: -7.20 eV/atom

(8)
Material: SrAc4Ir2
Method: DFT, PBE-GGA
State: optimized geometry

```
SrAc4Ir2
1.0
5.758 -6.153 0.000
5.758 6.153 0.000
-4.150 0.000 7.848
Sr Ac Ir
2 8 4
Direct
0.022 0.978 0.750
0.978 0.022 0.250
0.262 0.733 0.993
0.267 0.738 0.507
0.285 0.329 0.636
0.329 0.285 0.136
0.671 0.715 0.864
0.715 0.671 0.364
0.733 0.262 0.493
0.738 0.267 0.007
0.000 0.500 0.500
0.500 0.000 0.000
0.500 0.500 0.000
0.500 0.500 0.500
```

Calculated formation energy: -0.28 eV/atom
Space group: C2/c, No. 15
Calculated density: 8.24 g cm⁻³
Total energy: -5.40 eV/atom